1.
Here is crystalline CaTl2Cr at its relaxed geometry from the Alexandria database. Energies are from GGA-PBEsol.

Unit cell a=3.839 b=3.839 c=6.798 alpha=90.00 beta=90.00 gamma=90.00
Atoms (fractional coordinates):
Ca 0.000 0.000 0.000
Tl 0.000 0.000 0.470
Tl 0.500 0.500 0.735
Cr 0.500 0.500 0.288

Summary:
E_form ... 28 kJ per mole of atoms



2.
Here is crystalline CaTl2Cr at its relaxed geometry from the Alexandria database. Energies are from GGA-PBEsol.

Unit cell a=10.990 b=4.101 c=4.776 alpha=90.00 beta=115.59 gamma=90.00
Atoms (fractional coordinates):
Ca 0.000 0.000 0.000
Ca 0.500 0.500 0.000
Tl 0.020 0.500 0.520
Tl 0.264 0.500 0.263
Tl 0.520 0.000 0.520
Tl 0.764 0.000 0.263
Cr 0.242 0.000 0.741
Cr 0.742 0.500 0.741

Summary:
E_form ... 23 kJ per mole of atoms



3.
Here is crystalline CaTl2Cr at its relaxed geometry from the Alexandria database. Energies are from GGA-PBEsol.

Unit cell a=4.679 b=4.679 c=4.294 alpha=90.00 beta=90.00 gamma=90.00
Atoms (fractional coordinates):
Ca 0.000 0.000 0.000
Tl 0.000 0.500 0.500
Tl 0.500 0.000 0.500
Cr 0.500 0.500 0.000

Summary:
E_form ... 18 kJ per mole of atoms



4.
Here is crystalline CaTl2Cr at its relaxed geometry from the Alexandria database. Energies are from GGA-PBEsol.

Unit cell a=3.514 b=3.514 c=27.462 alpha=90.00 beta=90.00 gamma=120.00
Atoms (fractional coordinates):
Ca 0.000 0.000 0.000
Ca 0.333 0.667 0.667
Ca 0.667 0.333 0.333
Tl 0.000 0.000 0.241
Tl 0.000 0.000 0.759
Tl 0.333 0.667 0.426
Tl 0.333 0.667 0.908
Tl 0.667 0.333 0.092
Tl 0.667 0.333 0.574
Cr 0.000 0.000 0.500
Cr 0.333 0.667 0.167
Cr 0.667 0.333 0.833

Summary:
E_form ... 27 kJ per mole of atoms



5.
Here is crystalline CaCr3W at its relaxed geometry from the Alexandria database. Energies are from GGA-PBEsol.

Unit cell a=4.696 b=4.696 c=4.696 alpha=90.00 beta=90.00 gamma=90.00
Atoms (fractional coordinates):
Ca 0.000 0.000 0.000
Cr 0.000 0.500 0.500
Cr 0.500 0.000 0.500
Cr 0.500 0.500 0.000
W 0.500 0.500 0.500

Summary:
E_form ... 121 kJ per mole of atoms



6.
Here is crystalline CaY2Cr at its relaxed geometry from the Alexandria database. Energies are from GGA-PBEsol.

Unit cell a=6.531 b=10.989 c=3.336 alpha=90.00 beta=112.00 gamma=90.00
Atoms (fractional coordinates):
Ca 0.000 0.000 0.000
Ca 0.500 0.500 0.000
Y 0.250 0.250 0.500
Y 0.250 0.750 0.500
Y 0.750 0.250 0.500
Y 0.750 0.750 0.500
Cr 0.000 0.500 0.000
Cr 0.500 0.000 0.000

Summary:
E_form ... 54 kJ per mole of atoms



7.
Here is crystalline CaY2Cr at its relaxed geometry from the Alexandria database. Energies are from GGA-PBEsol.

Unit cell a=3.519 b=3.519 c=31.727 alpha=90.00 beta=90.00 gamma=120.00
Atoms (fractional coordinates):
Ca 0.000 0.000 0.000
Ca 0.333 0.667 0.667
Ca 0.667 0.333 0.333
Y 0.000 0.000 0.233
Y 0.000 0.000 0.767
Y 0.333 0.667 0.434
Y 0.333 0.667 0.900
Y 0.667 0.333 0.100
Y 0.667 0.333 0.566
Cr 0.000 0.000 0.500
Cr 0.333 0.667 0.167
Cr 0.667 0.333 0.833

Summary:
E_form ... 45 kJ per mole of atoms



8.
Here is crystalline CaY2Cr at its relaxed geometry from the Alexandria database. Energies are from GGA-PBEsol.

Unit cell a=5.235 b=5.235 c=3.966 alpha=90.00 beta=90.00 gamma=90.00
Atoms (fractional coordinates):
Ca 0.000 0.000 0.000
Y 0.000 0.500 0.500
Y 0.500 0.000 0.500
Cr 0.500 0.500 0.000

Summary:
E_form ... 44 kJ per mole of atoms



9.
Here is crystalline CaYCr at its relaxed geometry from the Alexandria database. Energies are from GGA-PBEsol.

Unit cell a=7.122 b=7.122 c=7.122 alpha=90.00 beta=90.00 gamma=90.00
Atoms (fractional coordinates):
Ca 0.000 0.000 0.000
Ca 0.000 0.500 0.500
Ca 0.500 0.000 0.500
Ca 0.500 0.500 0.000
Y 0.000 0.000 0.500
Y 0.000 0.500 0.000
Y 0.500 0.000 0.000
Y 0.500 0.500 0.500
Cr 0.250 0.250 0.750
Cr 0.250 0.750 0.250
Cr 0.750 0.250 0.250
Cr 0.750 0.750 0.750

Summary:
E_form ... 79 kJ per mole of atoms



10.
Here is crystalline Ca3YCr at its relaxed geometry from the Alexandria database. Energies are from GGA-PBEsol.

Unit cell a=6.010 b=6.010 c=6.010 alpha=90.00 beta=90.00 gamma=90.00
Atoms (fractional coordinates):
Ca 0.000 0.000 0.500
Ca 0.000 0.500 0.000
Ca 0.500 0.000 0.000
Y 0.000 0.000 0.000
Cr 0.500 0.500 0.500

Summary:
E_form ... 134 kJ per mole of atoms



11.
Here is crystalline CaY2Cr at its relaxed geometry from the Alexandria database. Energies are from GGA-PBEsol.

Unit cell a=7.569 b=7.569 c=7.569 alpha=90.00 beta=90.00 gamma=90.00
Atoms (fractional coordinates):
Ca 0.000 0.000 0.000
Ca 0.000 0.500 0.500
Ca 0.500 0.000 0.500
Ca 0.500 0.500 0.000
Y 0.000 0.000 0.500
Y 0.000 0.500 0.000
Y 0.250 0.250 0.250
Y 0.250 0.750 0.750
Y 0.500 0.000 0.000
Y 0.500 0.500 0.500
Y 0.750 0.250 0.750
Y 0.750 0.750 0.250
Cr 0.250 0.250 0.750
Cr 0.250 0.750 0.250
Cr 0.750 0.250 0.250
Cr 0.750 0.750 0.750

Summary:
E_form ... 49 kJ per mole of atoms



12.
Here is crystalline CaYCr3 at its relaxed geometry from the Alexandria database. Energies are from GGA-PBEsol.

Unit cell a=4.991 b=4.991 c=4.991 alpha=90.00 beta=90.00 gamma=90.00
Atoms (fractional coordinates):
Ca 0.000 0.000 0.000
Y 0.500 0.500 0.500
Cr 0.000 0.500 0.500
Cr 0.500 0.000 0.500
Cr 0.500 0.500 0.000

Summary:
E_form ... 158 kJ per mole of atoms



13.
Here is crystalline CaZrCr2 at its relaxed geometry from the Alexandria database. Energies are from GGA-PBEsol.

Unit cell a=9.346 b=3.047 c=6.036 alpha=90.00 beta=94.81 gamma=90.00
Atoms (fractional coordinates):
Ca 0.000 0.000 0.000
Ca 0.500 0.500 0.000
Zr 0.000 0.500 0.500
Zr 0.500 0.000 0.500
Cr 0.249 0.000 0.629
Cr 0.251 0.500 0.371
Cr 0.749 0.500 0.629
Cr 0.751 0.000 0.371

Summary:
E_form ... 70 kJ per mole of atoms



14.
Here is crystalline CaZrCr2 at its relaxed geometry from the Alexandria database. Energies are from GGA-PBEsol.

Unit cell a=3.506 b=3.571 c=6.428 alpha=90.00 beta=90.00 gamma=90.00
Atoms (fractional coordinates):
Ca 0.000 0.000 0.000
Zr 0.000 0.000 0.500
Cr 0.500 0.500 0.343
Cr 0.500 0.500 0.657

Summary:
E_form ... 58 kJ per mole of atoms



15.
Here is crystalline CsCa3 at its relaxed geometry from the Alexandria database. Energies are from GGA-PBEsol.

Unit cell a=9.173 b=9.173 c=9.173 alpha=90.00 beta=90.00 gamma=90.00
Atoms (fractional coordinates):
Cs 0.000 0.000 0.000
Cs 0.000 0.500 0.500
Cs 0.500 0.000 0.500
Cs 0.500 0.500 0.000
Ca 0.000 0.000 0.500
Ca 0.000 0.500 0.000
Ca 0.250 0.250 0.250
Ca 0.250 0.250 0.750
Ca 0.250 0.750 0.250
Ca 0.250 0.750 0.750
Ca 0.500 0.000 0.000
Ca 0.500 0.500 0.500
Ca 0.750 0.250 0.250
Ca 0.750 0.250 0.750
Ca 0.750 0.750 0.250
Ca 0.750 0.750 0.750

Summary:
E_form ... 22 kJ per mole of atoms



16.
Here is crystalline CsCa3Cu at its relaxed geometry from the Alexandria database. Energies are from GGA-PBEsol.

Unit cell a=5.835 b=5.835 c=5.835 alpha=90.00 beta=90.00 gamma=90.00
Atoms (fractional coordinates):
Cs 0.000 0.000 0.000
Ca 0.000 0.500 0.500
Ca 0.500 0.000 0.500
Ca 0.500 0.500 0.000
Cu 0.500 0.500 0.500

Summary:
E_form ... 13 kJ per mole of atoms



17.
Here is crystalline CsCaF2 at its relaxed geometry from the Alexandria database. Energies are from GGA-PBEsol.

Unit cell a=4.302 b=4.302 c=22.351 alpha=90.00 beta=90.00 gamma=120.00
Atoms (fractional coordinates):
Cs 0.000 0.000 0.000
Cs 0.333 0.667 0.667
Cs 0.667 0.333 0.333
Ca 0.000 0.000 0.500
Ca 0.333 0.667 0.167
Ca 0.667 0.333 0.833
F 0.000 0.000 0.406
F 0.000 0.000 0.594
F 0.333 0.667 0.072
F 0.333 0.667 0.261
F 0.667 0.333 0.739
F 0.667 0.333 0.928

Summary:
VASP energy ... -52.52 eV for the cell shown



18.
Here is crystalline CsCaF3 at its relaxed geometry from the Alexandria database. Energies are from GGA-PBEsol.

Unit cell a=4.494 b=4.494 c=4.494 alpha=90.00 beta=90.00 gamma=90.00
Atoms (fractional coordinates):
Cs 0.000 0.000 0.000
Ca 0.500 0.500 0.500
F 0.000 0.500 0.500
F 0.500 0.000 0.500
F 0.500 0.500 0.000

Summary:
VASP energy ... -26.34 eV for the cell shown



19.
Here is crystalline CsCa2F2 at its relaxed geometry from the Alexandria database. Energies are from GGA-PBEsol.

Unit cell a=3.943 b=3.943 c=20.452 alpha=90.00 beta=90.00 gamma=90.00
Atoms (fractional coordinates):
Cs 0.000 0.000 0.000
Cs 0.500 0.500 0.500
Ca 0.000 0.000 0.312
Ca 0.000 0.000 0.688
Ca 0.500 0.500 0.188
Ca 0.500 0.500 0.812
F 0.000 0.500 0.250
F 0.000 0.500 0.750
F 0.500 0.000 0.250
F 0.500 0.000 0.750

Summary:
VASP energy ... -40.25 eV for the cell shown



20.
Here is crystalline CsCa2F at its relaxed geometry from the Alexandria database. Energies are from GGA-PBEsol.

Unit cell a=8.708 b=8.708 c=8.708 alpha=90.00 beta=90.00 gamma=90.00
Atoms (fractional coordinates):
Cs 0.000 0.000 0.000
Cs 0.000 0.500 0.500
Cs 0.500 0.000 0.500
Cs 0.500 0.500 0.000
Ca 0.250 0.250 0.250
Ca 0.250 0.250 0.750
Ca 0.250 0.750 0.250
Ca 0.250 0.750 0.750
Ca 0.750 0.250 0.250
Ca 0.750 0.250 0.750
Ca 0.750 0.750 0.250
Ca 0.750 0.750 0.750
F 0.000 0.000 0.500
F 0.000 0.500 0.000
F 0.500 0.000 0.000
F 0.500 0.500 0.500

Summary:
VASP energy ... -31.49 eV for the cell shown



21.
Here is crystalline Cs2CaF4 at its relaxed geometry from the Alexandria database. Energies are from GGA-PBEsol.

Unit cell a=4.463 b=4.463 c=14.704 alpha=90.00 beta=90.00 gamma=90.00
Atoms (fractional coordinates):
Cs 0.000 0.000 0.149
Cs 0.000 0.000 0.851
Cs 0.500 0.500 0.351
Cs 0.500 0.500 0.649
Ca 0.000 0.000 0.500
Ca 0.500 0.500 0.000
F 0.000 0.000 0.347
F 0.000 0.000 0.653
F 0.000 0.500 0.000
F 0.000 0.500 0.500
F 0.500 0.000 0.000
F 0.500 0.000 0.500
F 0.500 0.500 0.153
F 0.500 0.500 0.847

Summary:
VASP energy ... -69.22 eV for the cell shown



22.
Here is crystalline Cs2NaCaF6 at its relaxed geometry from the Alexandria database. Energies are from GGA-PBEsol.

Unit cell a=6.359 b=6.359 c=6.359 alpha=60.00 beta=60.00 gamma=60.00
Atoms (fractional coordinates):
Cs 0.250 0.250 0.250
Cs 0.750 0.750 0.750
Na 0.000 0.000 0.000
Ca 0.500 0.500 0.500
F 0.253 0.253 0.747
F 0.253 0.747 0.253
F 0.253 0.747 0.747
F 0.747 0.253 0.253
F 0.747 0.253 0.747
F 0.747 0.747 0.253

Summary:
VASP energy ... -45.08 eV for the cell shown



23.
Here is crystalline CsCaFe2 at its relaxed geometry from the Alexandria database. Energies are from GGA-PBEsol.

Unit cell a=7.344 b=7.344 c=7.344 alpha=90.00 beta=90.00 gamma=90.00
Atoms (fractional coordinates):
Cs 0.000 0.000 0.000
Cs 0.000 0.500 0.500
Cs 0.500 0.000 0.500
Cs 0.500 0.500 0.000
Ca 0.000 0.000 0.500
Ca 0.000 0.500 0.000
Ca 0.500 0.000 0.000
Ca 0.500 0.500 0.500
Fe 0.250 0.250 0.250
Fe 0.250 0.250 0.750
Fe 0.250 0.750 0.250
Fe 0.250 0.750 0.750
Fe 0.750 0.250 0.250
Fe 0.750 0.250 0.750
Fe 0.750 0.750 0.250
Fe 0.750 0.750 0.750

Summary:
E_form ... 140 kJ per mole of atoms



24.
Here is crystalline Cs2CaH2 at its relaxed geometry from the Alexandria database. Energies are from GGA-PBEsol.

Unit cell a=5.430 b=5.430 c=12.897 alpha=90.00 beta=90.00 gamma=90.00
Atoms (fractional coordinates):
Cs 0.000 0.000 0.166
Cs 0.000 0.000 0.834
Cs 0.500 0.500 0.334
Cs 0.500 0.500 0.666
Ca 0.000 0.000 0.500
Ca 0.500 0.500 0.000
H 0.000 0.500 0.250
H 0.000 0.500 0.750
H 0.500 0.000 0.250
H 0.500 0.000 0.750

Summary:
VASP energy ... -18.84 eV for the cell shown



25.
Here is crystalline CsNa2CaH at its relaxed geometry from the Alexandria database. Energies are from GGA-PBEsol.

Unit cell a=6.909 b=6.909 c=4.847 alpha=90.00 beta=90.00 gamma=90.00
Atoms (fractional coordinates):
Cs 0.000 0.000 0.000
Na 0.000 0.500 0.000
Na 0.500 0.000 0.000
Ca 0.500 0.500 0.500
H 0.000 0.000 0.500

Summary:
VASP energy ... -6.69 eV for the cell shown



26.
Here is crystalline CsCaHf3 at its relaxed geometry from the Alexandria database. Energies are from GGA-PBEsol.

Unit cell a=5.361 b=5.361 c=5.361 alpha=90.00 beta=90.00 gamma=90.00
Atoms (fractional coordinates):
Cs 0.000 0.000 0.000
Ca 0.500 0.500 0.500
Hf 0.000 0.500 0.500
Hf 0.500 0.000 0.500
Hf 0.500 0.500 0.000

Summary:
E_form ... 191 kJ per mole of atoms



27.
Here is crystalline CsCaHg2 at its relaxed geometry from the Alexandria database. Energies are from GGA-PBEsol.

Unit cell a=8.091 b=8.091 c=8.091 alpha=90.00 beta=90.00 gamma=90.00
Atoms (fractional coordinates):
Cs 0.000 0.000 0.000
Cs 0.000 0.500 0.500
Cs 0.500 0.000 0.500
Cs 0.500 0.500 0.000
Ca 0.000 0.000 0.500
Ca 0.000 0.500 0.000
Ca 0.500 0.000 0.000
Ca 0.500 0.500 0.500
Hg 0.250 0.250 0.250
Hg 0.250 0.250 0.750
Hg 0.250 0.750 0.250
Hg 0.250 0.750 0.750
Hg 0.750 0.250 0.250
Hg 0.750 0.250 0.750
Hg 0.750 0.750 0.250
Hg 0.750 0.750 0.750

Summary:
E_form ... -16 kJ per mole of atoms



28.
Here is crystalline CsCa3Hg at its relaxed geometry from the Alexandria database. Energies are from GGA-PBEsol.

Unit cell a=5.653 b=5.653 c=5.653 alpha=90.00 beta=90.00 gamma=90.00
Atoms (fractional coordinates):
Cs 0.000 0.000 0.000
Ca 0.000 0.000 0.500
Ca 0.000 0.500 0.000
Ca 0.500 0.000 0.000
Hg 0.500 0.500 0.500

Summary:
E_form ... 94 kJ per mole of atoms



29.
Here is crystalline CsCa3I at its relaxed geometry from the Alexandria database. Energies are from GGA-PBEsol.

Unit cell a=6.317 b=6.317 c=6.317 alpha=90.00 beta=90.00 gamma=90.00
Atoms (fractional coordinates):
Cs 0.000 0.000 0.000
Ca 0.000 0.500 0.500
Ca 0.500 0.000 0.500
Ca 0.500 0.500 0.000
I 0.500 0.500 0.500

Summary:
VASP energy ... -9.02 eV for the cell shown



30.
Here is crystalline CsLiCaIn2 at its relaxed geometry from the Alexandria database. Energies are from GGA-PBEsol.

Unit cell a=5.259 b=5.259 c=5.653 alpha=90.00 beta=90.00 gamma=90.00
Atoms (fractional coordinates):
Cs 0.000 0.000 0.000
Li 0.500 0.500 0.500
Ca 0.500 0.500 0.000
In 0.000 0.500 0.500
In 0.500 0.000 0.500

Summary:
E_form ... 4 kJ per mole of atoms